{"formula": "ReAs2Pt", "functional": "PBE", "state": "optimized geometry", "lattice": [[0.000, 3.167, 3.167], [3.167, 0.000, 3.167], [3.167, 3.167, 0.000]], "species": ["Pt", "Re", "As", "As"], "fractional_positions": [[0.500, 0.500, 0.500], [0.000, 0.000, 0.000], [0.250, 0.250, 0.250], [0.750, 0.750, 0.750]], "space_group": "No. 225", "dft_energy_ry_per_atom": -0.484, "delta_e_f_mev_per_atom": 365}



{"formula": "YAl2Pd8", "functional": "PBE", "state": "optimized geometry", "lattice": [[4.658, -0.173, -0.260], [-1.024, 6.679, -0.173], [-1.024, -2.732, 6.097]], "species": ["Pd", "Y", "Pd", "Pd", "Pd", "Al", "Pd", "Pd", "Pd", "Al", "Pd"], "fractional_positions": [[0.104, 0.079, 0.326], [0.500, 0.000, 0.000], [0.309, 0.598, 0.598], [0.896, 0.674, 0.921], [0.500, 0.757, 0.243], [0.000, 0.313, 0.687], [0.896, 0.921, 0.674], [0.691, 0.402, 0.402], [0.104, 0.326, 0.079], [0.000, 0.687, 0.313], [0.500, 0.243, 0.757]], "space_group": "No. 12", "dft_energy_ry_per_atom": -0.417, "delta_e_f_mev_per_atom": -626}



{"formula": "TaCdNi2Rh", "functional": "PBE", "state": "optimized geometry", "lattice": [[-2.740, 2.943, -1.942], [-0.357, -2.998, -4.039], [-3.512, -2.057, 1.838]], "species": ["Cd", "Ta", "Ni", "Rh", "Ni"], "fractional_positions": [[0.000, 0.000, 0.000], [0.000, 0.500, 0.000], [0.500, 0.000, 0.000], [0.500, 0.500, 0.500], [0.000, 0.000, 0.500]], "space_group": "No. 123", "dft_energy_ry_per_atom": -0.332, "delta_e_f_mev_per_atom": 1816}



{"formula": "Sr2CoAs", "functional": "PBE", "state": "optimized geometry", "lattice": [[4.057, 0.000, 0.000], [0.000, 3.546, 0.020], [0.000, 3.503, 7.491]], "species": ["As", "Sr", "Co", "Sr"], "fractional_positions": [[0.500, 0.250, 0.250], [0.000, 0.995, 0.006], [0.500, 0.750, 0.750], [0.000, 0.505, 0.494]], "space_group": "No. 47", "dft_energy_ry_per_atom": -0.286, "delta_e_f_mev_per_atom": -110}



{"formula": "SrPtS", "functional": "PBE", "state": "optimized geometry", "lattice": [[7.769, 0.000, 0.000], [0.000, 5.868, 0.000], [0.000, 0.000, 6.357]], "species": ["Pt", "S", "Pt", "Pt", "Sr", "Pt", "S", "Sr", "Sr", "S", "Sr", "S"], "fractional_positions": [[0.532, 0.250, 0.815], [0.313, 0.250, 0.571], [0.032, 0.250, 0.685], [0.468, 0.750, 0.185], [0.198, 0.250, 0.131], [0.968, 0.750, 0.315], [0.187, 0.750, 0.071], [0.698, 0.250, 0.369], [0.302, 0.750, 0.631], [0.687, 0.750, 0.429], [0.802, 0.750, 0.869], [0.813, 0.250, 0.929]], "formation_energy_uncorrected_ev_per_atom": -1.1997, "space_group": "No. 62", "dft_energy_ry_per_atom": -0.378}



{"formula": "NbPSeBr2", "functional": "PBE", "state": "optimized geometry", "lattice": [[5.264, 0.000, 0.000], [0.000, 5.264, 0.000], [0.000, 0.000, 5.030]], "species": ["Br", "Br", "Se", "P", "Nb"], "fractional_positions": [[0.000, 0.500, 0.000], [0.500, 0.000, 0.000], [0.000, 0.000, 0.500], [0.500, 0.500, 0.500], [0.000, 0.000, 0.000]], "formation_energy_uncorrected_ev_per_atom": 0.2851, "space_group": "No. 123", "dft_energy_ry_per_atom": -0.307}